# 1
Material: CuIrPd2O8
Method: DFT, PBE
State: relaxed

Cell: 5.652 5.652 5.652 Å, 112.47 112.47 103.63°
Sites, in units of the cell vectors:
Cu (0.250, 0.750, 0.500)
Ir (0.000, 0.000, 0.000)
Pd (0.750, 0.250, 0.500)
Pd (0.500, 0.500, 0.000)
O (0.340, 0.028, 0.312)
O (0.264, 0.439, 0.175)
O (0.264, 0.089, 0.825)
O (0.717, 0.028, 0.688)
O (0.911, 0.736, 0.175)
O (0.972, 0.283, 0.312)
O (0.972, 0.660, 0.688)
O (0.561, 0.736, 0.825)

=====

# 2
Material: PmCuIrO5
Method: DFT, PBE
State: relaxed

Cell: 5.683 5.683 7.164 Å, 101.41 101.41 112.73°
Sites, in units of the cell vectors:
Pm (0.338, 0.662, 0.250)
Pm (0.662, 0.338, 0.750)
Cu (0.679, 0.321, 0.250)
Cu (0.321, 0.679, 0.750)
Ir (0.000, 0.000, 0.500)
Ir (0.000, 0.000, 0.000)
O (0.084, 0.916, 0.250)
O (0.916, 0.084, 0.750)
O (0.897, 0.295, 0.085)
O (0.103, 0.705, 0.915)
O (0.705, 0.103, 0.415)
O (0.295, 0.897, 0.585)
O (0.723, 0.635, 0.448)
O (0.277, 0.365, 0.552)
O (0.365, 0.277, 0.052)
O (0.635, 0.723, 0.948)

=====

What energy relative to the elements, uncorrected values result from the calculations? In sequence: -0.057 -1.484 eV/atom.